# ZrRe2Br

A geometry-optimized ZrRe2Br structure (PBE, Alexandria).

```
ZrRe2Br
1.0
3.113 0.000 0.000
0.000 4.442 0.000
0.000 0.000 5.045
Zr Re Br
1 2 1
direct
0.000 0.000 0.000
0.000 0.500 0.500
0.500 0.000 0.500
0.500 0.500 0.000
```

Properties
energy relative to the elements, uncorrected: 0.5919 eV/atom
relative energy among the computed polymorphs: 16.1 kJ/mol of atoms
raw total energy: -8.19 eV per atom

# Zr3ReBr

A geometry-optimized Zr3ReBr structure (PBE, Alexandria).

```
Zr3ReBr
1.0
4.864 0.000 0.000
0.000 4.864 0.000
0.000 0.000 4.864
Zr Re Br
3 1 1
direct
0.000 0.000 0.500
0.000 0.500 0.000
0.500 0.000 0.000
0.500 0.500 0.500
0.000 0.000 0.000
```

Properties
energy relative to the elements, uncorrected: 0.9093 eV/atom
relative energy among the computed polymorphs: 37.4 kJ/mol of atoms
raw total energy: -7.04 eV per atom

# Zr2ReBr

A geometry-optimized Zr2ReBr structure (PBE, Alexandria).

```
Zr2ReBr
1.0
1.679 -2.632 0.000
1.679 2.632 0.000
0.000 0.000 10.029
Zr Re Br
2 1 1
direct
0.000 0.000 0.000
0.500 0.500 0.262
0.500 0.500 0.802
0.000 0.000 0.475
```

Properties
energy relative to the elements, uncorrected: 0.2113 eV/atom
relative energy among the computed polymorphs: 65.0 kJ/mol of atoms
raw total energy: -7.59 eV per atom